[1]
NiSe: relaxed, PBE-GGA.

Results
* E: -4.76 eV per atom
* M_tot: 0.3 μB/cell

Structure (extended XYZ):
```
4
Lattice="3.5899 0.0000 0.0000 0.0000 3.6707 0.0000 0.0000 0.0000 5.4483" Properties=species:S:1:pos:R:3 pbc="T T T"
Ni 0.8975 0.9177 0.0136
Ni 2.6924 2.7530 5.4347
Se 0.8975 2.7530 1.5130
Se 2.6924 0.9177 3.9353
```



[2]
BaLuTe2AuSe: relaxed, PBE-GGA.

Results
* E: -4.52 eV per atom
* M_tot: 0.0 μB/cell

Structure (extended XYZ):
```
12
Lattice="2.1634 -7.5151 0.0000 2.1634 7.5151 0.0000 0.0000 0.0000 10.8580" Properties=species:S:1:pos:R:3 pbc="T T T"
Ba 2.1634 3.8452 8.1435
Ba 2.1634 -3.8452 2.7145
Lu 2.1634 0.0000 0.0000
Lu 2.1634 0.0000 5.4290
Te 2.1634 5.4042 0.4968
Te 2.1634 5.4042 4.9322
Te 2.1634 -5.4042 5.9258
Te 2.1634 -5.4042 10.3612
Au 2.1634 7.0356 2.7145
Au 2.1634 -7.0356 8.1435
Se 2.1634 1.1048 2.7145
Se 2.1634 -1.1048 8.1435
```



[3]
Cs2TaHgBr6: relaxed, PBE-GGA.

Results
* E: -3.51 eV per atom
* M_tot: 1.0 μB/cell

Structure (extended XYZ):
```
10
Lattice="0.0000 5.8941 5.8941 5.8941 0.0000 5.8941 5.8941 5.8941 0.0000" Properties=species:S:1:pos:R:3 pbc="T T T"
Cs 2.9471 2.9471 2.9471
Cs 8.8412 8.8412 8.8412
Ta 0.0000 0.0000 0.0000
Hg 5.8941 5.8941 5.8941
Br 5.8941 5.8941 2.5811
Br 5.8941 2.5811 5.8941
Br 9.2071 5.8941 5.8941
Br 2.5811 5.8941 5.8941
Br 5.8941 9.2071 5.8941
Br 5.8941 5.8941 9.2071
```



[4]
Re2BAu: relaxed, PBE-GGA.

Results
* E: -7.52 eV per atom
* M_tot: 0.0 μB/cell

Structure (extended XYZ):
```
4
Lattice="0.0000 3.0461 3.0461 3.0461 0.0000 3.0461 3.0461 3.0461 0.0000" Properties=species:S:1:pos:R:3 pbc="T T T"
Re 0.0000 0.0000 0.0000
Re 1.5230 1.5230 1.5230
B 3.0461 3.0461 3.0461
Au 4.5691 4.5691 4.5691
```



[5]
Au: relaxed, PBE-GGA.

Results
* excess energy over the best structure of this formula in the dataset: 184 meV per atom
* DFT formation energy: 0.184 eV per formula unit

Structure (extended XYZ):
```
3
Lattice="2.8292 0.0000 0.0000 -1.4146 2.4502 0.0000 0.0000 0.0000 13.0337" Properties=species:S:1:pos:R:3 pbc="T T T"
Au 0.0000 0.0000 0.0000
Au 0.0000 1.6334 2.5421
Au 1.4146 0.8167 10.4916
```



[6]
PdPb2Se2Cl2O6: relaxed, PBE-GGA.

Results
* E: -5.00 eV per atom

Structure (extended XYZ):
```
26
Lattice="8.3078 0.0000 0.0000 0.0000 5.2839 0.0000 -7.3945 0.0000 10.7952" Properties=species:S:1:pos:R:3 pbc="T T T"
Pd 0.0000 0.0000 0.0000
Pd -3.6973 2.6420 5.3976
Pb -3.1982 0.2674 8.6927
Pb 0.4991 2.3746 3.2951
Pb 0.4142 2.9094 7.5000
Pb 4.1115 5.0165 2.1025
Se -1.4694 0.1541 5.6359
Se 2.2279 2.4879 0.2383
Se -1.3146 2.7960 10.5569
Se 2.3827 5.1299 5.1593
Cl -4.6390 3.0359 7.4772
Cl -0.9417 4.8900 2.0796
Cl 1.8550 0.3940 8.7156
Cl 5.5523 2.2480 3.3180
O -2.8724 1.0255 6.2532
O 0.8249 1.6164 0.8556
O 3.4387 1.2603 0.2268
O -0.2585 1.3816 5.6244
O 2.4558 3.3035 1.7435
O -1.2414 4.6224 7.1410
O 2.1547 0.6615 3.6541
O -1.5425 1.9805 9.0517
O 1.1718 3.9023 5.1708
O -2.5254 4.0236 10.5683
O 0.0884 3.6675 9.9396
O 3.7857 4.2584 4.5420
```



[7]
Sr2HgSbAs: relaxed, PBE-GGA.

Results
* excess energy over the best structure of this formula in the dataset: 10 meV per atom

Structure (extended XYZ):
```
10
Lattice="2.3033 -9.1136 0.0000 2.3033 9.1136 0.0000 0.0000 0.0000 7.4193" Properties=species:S:1:pos:R:3 pbc="T T T"
Sr 2.3033 8.7304 3.7097
Sr 2.3033 5.6468 1.4436
Sr 2.3033 -5.6468 5.1533
Sr 2.3033 -8.7304 0.0000
Hg 2.3033 1.8330 2.5802
Hg 2.3033 -1.8330 6.2898
Sb 2.3033 5.8949 5.3248
Sb 2.3033 -5.8949 1.6151
As 2.3033 1.1379 5.3086
As 2.3033 -1.1379 1.5989
```



[8]
BiPt19: relaxed, PBE-GGA.

Results
* excess energy over the best structure of this formula in the dataset: 72 meV per atom
* M_tot: 0.1 μB/cell

Structure (extended XYZ):
```
20
Lattice="2.8356 0.0000 0.0000 0.0000 2.8356 0.0000 0.0000 0.0000 52.1047" Properties=species:S:1:pos:R:3 pbc="T T T"
Bi 0.0000 0.0000 0.0000
Pt 0.0000 0.0000 4.2615
Pt 0.0000 0.0000 8.1751
Pt 0.0000 0.0000 12.0656
Pt 0.0000 0.0000 15.9523
Pt 0.0000 0.0000 19.8515
Pt 0.0000 0.0000 23.7580
Pt 0.0000 0.0000 27.6727
Pt 0.0000 0.0000 31.5936
Pt 0.0000 0.0000 35.4919
Pt 1.4178 1.4178 2.2510
Pt 1.4178 1.4178 6.2254
Pt 1.4178 1.4178 10.1210
Pt 1.4178 1.4178 14.0075
Pt 1.4178 1.4178 17.9007
Pt 1.4178 1.4178 21.8038
Pt 1.4178 1.4178 25.7144
Pt 1.4178 1.4178 29.6325
Pt 1.4178 1.4178 33.5475
Pt 1.4178 1.4178 37.4012
```